This record from Alexandria describes crystalline TcPbCl2 at its relaxed geometry. The functional is PBE.

abc: 3.285 3.285 8.729
angles: 90.00 90.00 90.00
Space group P4/mmm (No. 123)
Inequivalent atoms, fractional coordinates:
Tc 0.000 0.000 0.000 (multiplicity 1)
Pb 0.000 0.000 0.500 (multiplicity 1)
Cl 0.500 0.500 0.191 (multiplicity 2)

Summary:
As for the energy relative to the lowest polymorph listed for this composition: 0.413 eV per atom. As for the total moment: 1.050 μB/atom. The volume is 94.2 Å³/f.u. As for the density of states at the Fermi level: 1.74 states/eV per cell. The value obtained for the total energy is -4.197 eV per atom.